DFT (GGA-PBE) results for an optimized crystal structure of Tb3AlGe3.

abc: 4.2641 5.8675 13.4691
angles: 82.49 80.89 68.69
Fractional coordinates of all 14 atoms:
Tb (0.6043, 0.7133, 0.0781)
Ge (0.1374, 0.2696, 0.4555)
Ge (0.8626, 0.7304, 0.5445)
Ge (0.9829, 0.8077, 0.2264)
Tb (0.7373, 0.7508, 0.7745)
Tb (0.2627, 0.2492, 0.2255)
Tb (0.4842, 0.6547, 0.3770)
Al (0.7679, 0.0795, 0.3846)
Ge (0.1187, 0.8382, 0.9244)
Ge (0.8813, 0.1618, 0.0756)
Al (0.2321, 0.9205, 0.6154)
Tb (0.3957, 0.2867, 0.9219)
Ge (0.0171, 0.1923, 0.7736)
Tb (0.5158, 0.3453, 0.6230)

Properties
* M_tot: 0.00 μB/atom
* symmetry: C2/m, No. 12
* energy relative to the lowest polymorph listed for this composition: 0.00 eV per formula unit

---

DFT (GGA-PBE) results for an optimized crystal structure of SrAc4Pr.

abc: 3.9904 3.9904 16.8558
angles: 90.00 90.00 90.00
Fractional coordinates of all 6 atoms:
Ac (0.5000, 0.5000, 0.8166)
Pr (0.5000, 0.5000, 0.5000)
Ac (0.0000, 0.0000, 0.3451)
Sr (0.0000, 0.0000, 0.0000)
Ac (0.0000, 0.0000, 0.6549)
Ac (0.5000, 0.5000, 0.1834)

Properties
* M_tot: 0.00 μB/atom
* symmetry: P4/mmm, No. 123
* energy relative to the lowest polymorph listed for this composition: 0.00 eV per formula unit

---

DFT (GGA-PBE) results for an optimized crystal structure of TaCrCd2.

abc: 4.7138 4.7138 4.7138
angles: 60.00 60.00 60.00
Last column: magnetic moment on the atom in μB.
Fractional coordinates of all 4 atoms:
Cd (0.7500, 0.7500, 0.7500)  -0.02
Ta (0.5000, 0.5000, 0.5000)  -0.61
Cr (0.0000, 0.0000, 0.0000)  3.24
Cd (0.2500, 0.2500, 0.2500)  -0.02

Properties
* M_tot: 0.67 μB/atom
* symmetry: Fm-3m, No. 225
* energy relative to the lowest polymorph listed for this composition: 1.35 eV per formula unit

---

DFT (GGA-PBE) results for an optimized crystal structure of PmLuIr2.

abc: 4.8678 4.8678 4.8678
angles: 60.00 60.00 60.00
Fractional coordinates of all 4 atoms:
Ir (0.7500, 0.7500, 0.7500)
Lu (0.5000, 0.5000, 0.5000)
Pm (0.0000, 0.0000, 0.0000)
Ir (0.2500, 0.2500, 0.2500)

Properties
* M_tot: 0.00 μB/atom
* symmetry: Fm-3m, No. 225
* energy relative to the lowest polymorph listed for this composition: 0.08 eV per formula unit

---

DFT (GGA-PBE) results for an optimized crystal structure of Pm3GaCu2Pd9.

abc: 7.5207 7.5207 6.2404
angles: 90.00 90.00 120.00
Fractional coordinates of all 15 atoms:
Pm (0.0000, 0.0000, 0.0000)
Cu (0.6667, 0.3333, 0.8315)
Pm (0.3333, 0.6667, 0.6703)
Pd (0.0000, 0.5000, 0.0000)
Pd (0.5000, 0.0000, 0.0000)
Pm (0.6667, 0.3333, 0.3297)
Pd (0.8350, 0.1650, 0.6709)
Ga (0.0000, 0.0000, 0.5000)
Pd (0.6699, 0.8350, 0.3291)
Pd (0.3301, 0.1650, 0.6709)
Cu (0.3333, 0.6667, 0.1685)
Pd (0.1650, 0.8350, 0.3291)
Pd (0.5000, 0.5000, 0.0000)
Pd (0.8350, 0.6699, 0.6709)
Pd (0.1650, 0.3301, 0.3291)

Properties
* M_tot: 0.00 μB/atom
* symmetry: P-3m1, No. 164
* calculated total energy: -5.14 eV per atom

---

DFT (GGA-PBE) results for an optimized crystal structure of Y3CrPd12.

abc: 4.0890 4.0890 16.2372
angles: 90.00 90.00 90.00
Last column: magnetic moment on the atom in μB.
Fractional coordinates of all 16 atoms:
Y (0.0000, 0.0000, 0.2431)  -0.01
Pd (0.5000, 0.5000, 0.2422)  -0.03
Pd (0.0000, 0.5000, 0.3712)  -0.01
Pd (0.0000, 0.5000, 0.1131)  -0.05
Cr (0.0000, 0.0000, 0.0000)  3.01
Pd (0.0000, 0.5000, 0.8869)  -0.05
Y (0.0000, 0.0000, 0.7569)  -0.01
Pd (0.5000, 0.0000, 0.3712)  -0.01
Pd (0.5000, 0.5000, 0.0000)  -0.11
Pd (0.0000, 0.5000, 0.6288)  -0.01
Pd (0.5000, 0.0000, 0.1131)  -0.05
Pd (0.5000, 0.5000, 0.7578)  -0.03
Y (0.0000, 0.0000, 0.5000)  0.00
Pd (0.5000, 0.0000, 0.6288)  -0.01
Pd (0.5000, 0.0000, 0.8869)  -0.05
Pd (0.5000, 0.5000, 0.5000)  -0.01

Properties
* M_tot: 0.17 μB/atom
* symmetry: P4/mmm, No. 123
* calculated total energy: -6.35 eV per atom

---

DFT (GGA-PBE) results for an optimized crystal structure of Na8TlAu3.

abc: 8.6708 8.6805 8.6661
angles: 49.01 108.29 131.00
Fractional coordinates of all 12 atoms:
Na (0.8707, 0.4851, 0.1292)
Na (0.8709, 0.0000, 0.6138)
Na (0.3864, 0.0000, 0.1290)
Au (0.7500, 0.5000, 0.7499)
Na (0.6144, 0.4851, 0.3855)
Tl (0.0001, 0.0000, 0.0001)
Na (0.1290, 0.0000, 0.3866)
Au (0.2499, 0.5000, 0.2500)
Na (0.3856, 0.5149, 0.6143)
Au (0.5000, 0.0000, 0.5000)
Na (0.1294, 0.5149, 0.8706)
Na (0.6138, 0.0000, 0.8712)

Properties
* M_tot: 0.00 μB/atom
* symmetry: Fmmm, No. 69
* calculated total energy: -2.04 eV per atom

---

DFT (GGA-PBE) results for an optimized crystal structure of Cs2BiHI6.

abc: 9.5330 9.5330 8.4450
angles: 55.64 55.64 90.00
Fractional coordinates of all 10 atoms:
I (0.2270, 0.2270, 0.0000)
I (0.7730, 0.7730, 0.0000)
I (0.6865, 0.6865, 0.6270)
I (0.7730, 0.2270, 0.0000)
Bi (0.0000, 0.0000, 0.0000)
Cs (0.2500, 0.7500, 0.5000)
Cs (0.7500, 0.2500, 0.5000)
I (0.3135, 0.3135, 0.3730)
I (0.2270, 0.7730, 0.0000)
H (0.5000, 0.5000, 0.0000)

Properties
* M_tot: 0.00 μB/atom
* symmetry: I4/mmm, No. 139
* energy relative to the lowest polymorph listed for this composition: 0.60 eV per formula unit

---

DFT (GGA-PBE) results for an optimized crystal structure of Er12InCo5.

abc: 8.1948 8.1948 8.1948
angles: 106.78 110.76 110.91
Fractional coordinates of all 18 atoms:
Er (0.8075, 0.0186, 0.2112)
Er (0.1045, 0.8142, 0.2903)
Co (0.6228, 0.6228, 0.0000)
Er (0.1925, 0.4037, 0.2112)
Co (0.5000, 0.8871, 0.3871)
Co (0.0000, 0.0000, 0.0000)
Er (0.3048, 0.6857, 0.9905)
Er (0.6952, 0.3143, 0.0095)
Co (0.5000, 0.1129, 0.6129)
Er (0.8075, 0.5963, 0.7888)
Co (0.3772, 0.3772, 0.0000)
Er (0.4761, 0.1858, 0.2903)
Er (0.3048, 0.3143, 0.6191)
Er (0.5239, 0.8142, 0.7097)
Er (0.1925, 0.9814, 0.7888)
Er (0.8955, 0.1858, 0.7097)
Er (0.6952, 0.6857, 0.3809)
In (0.0000, 0.5000, 0.5000)

Properties
* M_tot: 0.00 μB/atom
* symmetry: Immm, No. 71
* calculated total energy: -5.44 eV per atom

---

DFT (GGA-PBE) results for an optimized crystal structure of CaInAu3.

abc: 5.4795 5.7530 8.0767
angles: 90.00 90.00 90.00
Fractional coordinates of all 10 atoms:
Au (0.5000, 0.0000, 0.5000)
Au (0.0000, 0.4416, 0.6668)
Au (0.5000, 0.5000, 0.0000)
In (0.0000, 0.5000, 0.0000)
Ca (0.5000, 0.0000, 0.0000)
Ca (0.5000, 0.5000, 0.5000)
Au (0.0000, 0.9416, 0.8332)
Au (0.0000, 0.0584, 0.1668)
In (0.0000, 0.0000, 0.5000)
Au (0.0000, 0.5584, 0.3332)

Properties
* M_tot: 0.00 μB/atom
* symmetry: Pbam, No. 55
* calculated total energy: -3.21 eV per atom

---

DFT (GGA-PBE) results for an optimized crystal structure of Ca2AlSn2.

abc: 7.5012 7.5012 4.8465
angles: 90.00 90.00 90.00
Fractional coordinates of all 10 atoms:
Al (0.5000, 0.5000, 0.0000)
Al (0.0000, 0.0000, 0.0000)
Ca (0.3302, 0.1698, 0.5000)
Ca (0.1698, 0.6698, 0.5000)
Ca (0.8302, 0.3302, 0.5000)
Sn (0.8616, 0.6384, 0.0000)
Ca (0.6698, 0.8302, 0.5000)
Sn (0.3616, 0.8616, 0.0000)
Sn (0.6384, 0.1384, 0.0000)
Sn (0.1384, 0.3616, 0.0000)

Properties
* M_tot: 0.00 μB/atom
* symmetry: P4/mbm, No. 127
* calculated total energy: -3.60 eV per atom

---

DFT (GGA-PBE) results for an optimized crystal structure of TbNi4Sn12.

abc: 7.9982 7.9982 7.9982
angles: 109.47 109.47 109.47
Fractional coordinates of all 17 atoms:
Sn (0.3346, 0.1683, 0.8337)
Sn (0.4991, 0.8337, 0.6654)
Sn (0.6654, 0.8317, 0.1663)
Sn (0.1663, 0.6654, 0.8317)
Sn (0.1683, 0.8337, 0.3346)
Sn (0.8337, 0.6654, 0.4991)
Ni (0.0000, 0.5000, 0.0000)
Sn (0.8337, 0.3346, 0.1683)
Sn (0.6654, 0.4991, 0.8337)
Ni (0.5000, 0.0000, 0.0000)
Ni (0.5000, 0.5000, 0.5000)
Sn (0.8317, 0.1663, 0.6654)
Sn (0.5009, 0.1663, 0.3346)
Sn (0.3346, 0.5009, 0.1663)
Sn (0.1663, 0.3346, 0.5009)
Ni (0.0000, 0.0000, 0.5000)
Tb (0.0000, 0.0000, 0.0000)

Properties
* M_tot: 0.00 μB/atom
* symmetry: Im-3, No. 204
* calculated total energy: -4.65 eV per atom

---

Look up the M_tot of the first one.
0.00 μB/atom

---

Repeat the eleventh record exactly.
DFT (GGA-PBE) results for an optimized crystal structure of Ca2AlSn2.

abc: 7.5012 7.5012 4.8465
angles: 90.00 90.00 90.00
Fractional coordinates of all 10 atoms:
Al (0.5000, 0.5000, 0.0000)
Al (0.0000, 0.0000, 0.0000)
Ca (0.3302, 0.1698, 0.5000)
Ca (0.1698, 0.6698, 0.5000)
Ca (0.8302, 0.3302, 0.5000)
Sn (0.8616, 0.6384, 0.0000)
Ca (0.6698, 0.8302, 0.5000)
Sn (0.3616, 0.8616, 0.0000)
Sn (0.6384, 0.1384, 0.0000)
Sn (0.1384, 0.3616, 0.0000)

Properties
* M_tot: 0.00 μB/atom
* symmetry: P4/mbm, No. 127
* calculated total energy: -3.60 eV per atom

---

Which value of M_tot does entry 10 give?
0.00 μB/atom